LiSbP2 | GGA-PBE | optimized geometry Values from VASP.

Geometry as Quantum ESPRESSO input:
```
&SYSTEM
  ibrav = 0, nat = 8, ntyp = 3
/
ATOMIC_SPECIES
Li 6.94 Li.upf
Sb 121.76 Sb.upf
P 30.97 P.upf
CELL_PARAMETERS angstrom
4.424 0.000 0.000
0.000 4.424 0.000
0.000 0.000 7.573
ATOMIC_POSITIONS crystal
Li 0.000 0.000 0.000
Li 0.500 0.500 0.500
Sb 0.000 0.000 0.500
Sb 0.500 0.500 0.000
P 0.000 0.500 0.250
P 0.000 0.500 0.750
P 0.500 0.000 0.250
P 0.500 0.000 0.750
```

=====

LiSbP2 | GGA-PBE | optimized geometry Values from VASP.

Geometry as Quantum ESPRESSO input:
```
&SYSTEM
  ibrav = 0, nat = 4, ntyp = 3
/
ATOMIC_SPECIES
Li 6.94 Li.upf
Sb 121.76 Sb.upf
P 30.97 P.upf
CELL_PARAMETERS angstrom
3.696 0.000 0.000
0.000 4.433 0.000
0.000 0.000 4.448
ATOMIC_POSITIONS crystal
Li 0.000 0.000 0.000
Sb 0.000 0.500 0.500
P 0.500 0.000 0.500
P 0.500 0.500 0.000
```

=====

LiSbP | GGA-PBE | optimized geometry Values from VASP.

Geometry as Quantum ESPRESSO input:
```
&SYSTEM
  ibrav = 0, nat = 6, ntyp = 3
/
ATOMIC_SPECIES
Li 6.94 Li.upf
Sb 121.76 Sb.upf
P 30.97 P.upf
CELL_PARAMETERS angstrom
4.619 0.000 0.000
0.948 4.970 0.000
0.121 1.682 5.690
ATOMIC_POSITIONS crystal
Li 0.215 0.221 0.006
Li 0.785 0.779 0.994
Sb 0.305 0.788 0.585
Sb 0.695 0.212 0.415
P 0.305 0.657 0.197
P 0.695 0.343 0.803
```

Properties
Excess energy over the best structure of this formula in the dataset   0 meV/atom

=====

Li2SbP | GGA-PBE | optimized geometry Values from VASP.

Geometry as Quantum ESPRESSO input:
```
&SYSTEM
  ibrav = 0, nat = 4, ntyp = 3
/
ATOMIC_SPECIES
Li 6.94 Li.upf
Sb 121.76 Sb.upf
P 30.97 P.upf
CELL_PARAMETERS angstrom
2.978 0.000 0.000
0.000 3.952 0.000
-0.098 0.000 5.974
ATOMIC_POSITIONS crystal
Li 0.005 0.000 0.291
Li 0.995 0.000 0.709
Sb 0.500 0.500 0.000
P 0.500 0.500 0.500
```

Properties
Excess energy over the best structure of this formula in the dataset   9 meV/atom

=====

LiSbP2 | GGA-PBE | optimized geometry Values from VASP.

Geometry as Quantum ESPRESSO input:
```
&SYSTEM
  ibrav = 0, nat = 12, ntyp = 3
/
ATOMIC_SPECIES
Li 6.94 Li.upf
Sb 121.76 Sb.upf
P 30.97 P.upf
CELL_PARAMETERS angstrom
3.059 0.000 0.000
-1.530 2.649 0.000
0.000 0.000 26.785
ATOMIC_POSITIONS crystal
Li 0.000 0.000 0.000
Li 0.333 0.667 0.667
Li 0.667 0.333 0.333
Sb 0.000 0.000 0.500
Sb 0.333 0.667 0.167
Sb 0.667 0.333 0.833
P 0.000 0.000 0.260
P 0.000 0.000 0.740
P 0.333 0.667 0.407
P 0.333 0.667 0.927
P 0.667 0.333 0.073
P 0.667 0.333 0.593
```

=====

LiSbP2 | GGA-PBE | optimized geometry Values from VASP.

Geometry as Quantum ESPRESSO input:
```
&SYSTEM
  ibrav = 0, nat = 8, ntyp = 3
/
ATOMIC_SPECIES
Li 6.94 Li.upf
Sb 121.76 Sb.upf
P 30.97 P.upf
CELL_PARAMETERS angstrom
5.461 0.000 0.000
0.000 7.346 0.000
0.000 0.000 3.648
ATOMIC_POSITIONS crystal
Li 0.000 0.000 0.000
Li 0.500 0.500 0.000
Sb 0.000 0.500 0.000
Sb 0.500 0.000 0.000
P 0.250 0.250 0.500
P 0.250 0.750 0.500
P 0.750 0.250 0.500
P 0.750 0.750 0.500
```

=====

Li2SbP | GGA-PBE | optimized geometry Values from VASP.

Geometry as Quantum ESPRESSO input:
```
&SYSTEM
  ibrav = 0, nat = 4, ntyp = 3
/
ATOMIC_SPECIES
Li 6.94 Li.upf
Sb 121.76 Sb.upf
P 30.97 P.upf
CELL_PARAMETERS angstrom
3.043 0.000 0.000
0.000 5.304 0.000
0.000 0.000 4.614
ATOMIC_POSITIONS crystal
Li 0.000 0.000 0.000
Li 0.000 0.500 0.265
Sb 0.500 0.000 0.511
P 0.500 0.500 0.752
```

Properties
Excess energy over the best structure of this formula in the dataset   104 meV/atom

=====

LiSbP2 | GGA-PBE | optimized geometry Values from VASP.

Geometry as Quantum ESPRESSO input:
```
&SYSTEM
  ibrav = 0, nat = 8, ntyp = 3
/
ATOMIC_SPECIES
Li 6.94 Li.upf
Sb 121.76 Sb.upf
P 30.97 P.upf
CELL_PARAMETERS angstrom
3.904 0.000 0.000
0.000 5.045 0.000
0.000 0.000 7.563
ATOMIC_POSITIONS crystal
Li 0.000 0.000 0.000
Li 0.500 0.500 0.000
Sb 0.000 0.000 0.500
Sb 0.500 0.500 0.500
P 0.000 0.500 0.236
P 0.000 0.500 0.764
P 0.500 0.000 0.236
P 0.500 0.000 0.764
```

=====

LiSbP2 | GGA-PBE | optimized geometry Values from VASP.

Geometry as Quantum ESPRESSO input:
```
&SYSTEM
  ibrav = 0, nat = 4, ntyp = 3
/
ATOMIC_SPECIES
Li 6.94 Li.upf
Sb 121.76 Sb.upf
P 30.97 P.upf
CELL_PARAMETERS angstrom
3.138 0.000 0.000
0.000 3.138 0.000
0.000 0.000 7.713
ATOMIC_POSITIONS crystal
Li 0.000 0.000 0.000
Sb 0.500 0.500 0.724
P 0.000 0.000 0.346
P 0.500 0.500 0.237
```

=====

Li3SbP4 | GGA-PBE | optimized geometry Values from VASP.

Geometry as Quantum ESPRESSO input:
```
&SYSTEM
  ibrav = 0, nat = 16, ntyp = 3
/
ATOMIC_SPECIES
Li 6.94 Li.upf
Sb 121.76 Sb.upf
P 30.97 P.upf
CELL_PARAMETERS angstrom
6.068 0.000 0.000
0.447 7.330 0.000
1.655 1.306 7.077
ATOMIC_POSITIONS crystal
Li 0.000 0.000 0.000
Li 0.012 0.350 0.408
Li 0.285 0.880 0.665
Li 0.430 0.302 0.012
Li 0.547 0.246 0.503
Li 0.680 0.680 0.837
Sb 0.101 0.599 0.996
Sb 0.956 0.851 0.440
P 0.110 0.550 0.655
P 0.307 0.064 0.339
P 0.472 0.623 0.280
P 0.482 0.577 0.583
P 0.499 0.008 0.866
P 0.573 0.923 0.154
P 0.727 0.435 0.151
P 0.840 0.072 0.686
```

Properties
Excess energy over the best structure of this formula in the dataset   0 meV/atom

=====

LiSbP2 | GGA-PBE | optimized geometry Values from VASP.

Geometry as Quantum ESPRESSO input:
```
&SYSTEM
  ibrav = 0, nat = 4, ntyp = 3
/
ATOMIC_SPECIES
Li 6.94 Li.upf
Sb 121.76 Sb.upf
P 30.97 P.upf
CELL_PARAMETERS angstrom
4.316 0.000 0.000
0.000 3.497 0.000
-1.389 0.000 4.766
ATOMIC_POSITIONS crystal
Li 0.000 0.000 0.000
Sb 0.500 0.500 0.000
P 0.000 0.500 0.500
P 0.500 0.000 0.500
```

=====

LiSbP2 | GGA-PBE | optimized geometry Values from VASP.

Geometry as Quantum ESPRESSO input:
```
&SYSTEM
  ibrav = 0, nat = 4, ntyp = 3
/
ATOMIC_SPECIES
Li 6.94 Li.upf
Sb 121.76 Sb.upf
P 30.97 P.upf
CELL_PARAMETERS angstrom
3.594 0.000 0.000
0.000 3.594 0.000
0.000 0.000 5.688
ATOMIC_POSITIONS crystal
Li 0.000 0.000 0.000
Sb 0.000 0.000 0.500
P 0.500 0.500 0.186
P 0.500 0.500 0.814
```

=====

Respective energy values: -3.99; -4.04; -4.01; -3.68; -3.88; -4.10; -3.59; -3.96; -4.22; -4.24; -4.03; -4.20 eV/atom.
Respective raw formation energy values: 0.223; 0.174; -0.199; -0.345; 0.334; 0.111; -0.250; 0.254; -0.007; -0.299; 0.189; 0.018 eV per atom.